No. 1
# Mg5Tl5In | Alexandria | PBE-GGA | relaxed
# Fermi-level density of states in states/eV per cell: 10.1
# Calculated total energy in eV/cell: -44.24
# Magnetization in μB per atom: 0.000
# E_form in meV/atom: 38
data_Mg5Tl5In
_symmetry_space_group_name_H-M 'C 1 2/m 1'
_symmetry_Int_Tables_number 12
_cell_length_a 17.0915
_cell_length_b 5.5259
_cell_length_c 6.6861
_cell_angle_alpha 90.00
_cell_angle_beta 110.45
_cell_angle_gamma 90.00
loop_
_symmetry_equiv_pos_as_xyz
'x,y,z'
'-x,-y,-z'
'-x,y,-z'
'x,-y,z'
'x+1/2,y+1/2,z'
'-x+1/2,-y+1/2,-z'
'-x+1/2,y+1/2,-z'
'x+1/2,-y+1/2,z'
loop_
_atom_site_label
_atom_site_type_symbol
_atom_site_fract_x
_atom_site_fract_y
_atom_site_fract_z
Mg1 Mg 0.0000 0.0000 0.0000
Mg2 Mg 0.1652 0.5000 0.4062
Mg3 Mg 0.1649 0.5000 0.9270
Tl1 Tl 0.0000 0.5000 0.5000
Tl2 Tl 0.1365 0.0000 0.6487
Tl3 Tl 0.1840 0.0000 0.1935
In1 In 0.0000 0.5000 0.0000

***

No. 2
# Mg7Tl2In | Alexandria | PBE-GGA | relaxed
# Fermi-level density of states in states/eV per cell: 5.4
# Calculated total energy in eV/cell: -37.58
# Magnetization in μB per atom: 0.000
# E_form in meV/atom: -16
data_Mg7Tl2In
_symmetry_space_group_name_H-M 'I 4/m m m'
_symmetry_Int_Tables_number 139
_symmetry_space_group_name_Hall '-I 4 2'
_cell_length_a 4.7593
_cell_length_b 4.7593
_cell_length_c 21.9740
_cell_angle_alpha 90.00
_cell_angle_beta 90.00
_cell_angle_gamma 90.00
loop_
_atom_site_label
_atom_site_type_symbol
_atom_site_fract_x
_atom_site_fract_y
_atom_site_fract_z
Mg1 Mg 0.0000 0.0000 0.0000
Mg2 Mg 0.0000 0.5000 0.0934
Mg3 Mg 0.0000 0.5000 0.2500
Tl1 Tl 0.0000 0.0000 0.1713
In1 In 0.0000 0.0000 0.5000

***

Among the records above, which one has the highest E_form? Mg5Tl5In

***

What did the second record say?
# Mg7Tl2In | Alexandria | PBE-GGA | relaxed
# Fermi-level density of states in states/eV per cell: 5.4
# Calculated total energy in eV/cell: -37.58
# Magnetization in μB per atom: 0.000
# E_form in meV/atom: -16
data_Mg7Tl2In
_symmetry_space_group_name_H-M 'I 4/m m m'
_symmetry_Int_Tables_number 139
_symmetry_space_group_name_Hall '-I 4 2'
_cell_length_a 4.7593
_cell_length_b 4.7593
_cell_length_c 21.9740
_cell_angle_alpha 90.00
_cell_angle_beta 90.00
_cell_angle_gamma 90.00
loop_
_atom_site_label
_atom_site_type_symbol
_atom_site_fract_x
_atom_site_fract_y
_atom_site_fract_z
Mg1 Mg 0.0000 0.0000 0.0000
Mg2 Mg 0.0000 0.5000 0.0934
Mg3 Mg 0.0000 0.5000 0.2500
Tl1 Tl 0.0000 0.0000 0.1713
In1 In 0.0000 0.0000 0.5000

***

What is the magnetization in the second record? 0.000 μB per atom

***

Among the records above, which one has the lowest Fermi-level density of states? Mg7Tl2In